CuS2F | GGA-PBE | relaxed

The crystal system is trigonal. The final energy comes out at -3.24 eV/atom. For the distance to the lowest polymorph of the same formula, the calculation gives 938 meV/atom. For the spin magnetization, the calculation gives 0.00 μB per cell. The density of states at the Fermi level is 2.6 states/eV/f.u. Its energy relative to the elements, uncorrected is 0.31 eV/atom.

Unit cell a=8.5436 b=8.5436 c=8.5436 alpha=17.93 beta=17.93 gamma=17.93
With the nearest neighbours (Å) after each atom.
Atoms (fractional coordinates):
S  0.0882  0.0882  0.0882  1 Cu 2.22
S  0.9118  0.9118  0.9118  1 Cu 2.22
F  0.5000  0.5000  0.5000  6 S 2.51, 6 F 2.66
Cu  0.0000  0.0000  0.0000  2 S 2.22